[1]
Computed, not measured: a relaxed structure of AlZnF at the GGA-PBE level of DFT.

Results
Spin magnetization, μB per cell: 0.0
ΔE_f (raw), eV/atom: -0.89

Lattice parameters (Å, degrees): 13.831 2.882 5.002 90.00 90.00 90.00
Space group Amm2 (No. 38)
Asymmetric unit:
Al: 0.167 0.000 0.000 (multiplicity 4)
Zn: 0.000 0.000 0.334 (multiplicity 2)
Zn: 0.500 0.000 0.140 (multiplicity 2)
F: 0.410 0.000 0.473 (multiplicity 4)


[2]
Computed, not measured: a relaxed structure of Ca5Pm3S8 at the GGA-PBE level of DFT.

Results
Spin magnetization, μB per cell: 0.0
ΔE_f (raw), eV/atom: -2.08

Lattice parameters (Å, degrees): 8.0407 8.0407 19.8492 90.00 90.00 120.00
Space group R-3m (No. 166, hexagonal axes)
Asymmetric unit:
Ca: 0.0000 0.0000 0.0000 (multiplicity 3)
Ca: 0.0000 0.0000 0.5000 (multiplicity 3)
Ca: 0.0000 0.5000 0.0000 (multiplicity 9)
Pm: 0.0000 0.5000 0.5000 (multiplicity 9)
S: 0.0000 0.0000 0.2514 (multiplicity 6)
S: 0.0010 0.5005 0.2505 (multiplicity 18)


[3]
Computed, not measured: a relaxed structure of La4GaTeCl2 at the GGA-PBE level of DFT.

Results
Spin magnetization, μB per cell: 0.0
ΔE_f (raw), eV/atom: -1.34

Lattice parameters (Å, degrees): 7.156 4.435 7.926 90.00 110.27 90.00
Space group P2/m (No. 10)
Asymmetric unit:
La: 0.236 0.000 0.225 (multiplicity 2)
La: 0.251 0.500 0.771 (multiplicity 2)
Ga: 0.500 0.000 0.000 (multiplicity 1)
Te: 0.500 0.500 0.500 (multiplicity 1)
Cl: 0.000 0.000 0.500 (multiplicity 1)
Cl: 0.000 0.500 0.000 (multiplicity 1)


[4]
Computed, not measured: a relaxed structure of BC5 at the GGA-PBE level of DFT.

Results
Spin magnetization, μB per cell: 0.0
Formation enthalpy at 0 K, eV per atom: 0.2781
Excess energy over the best structure of this formula in the dataset, eV/f.u.: 0.41

Lattice parameters (Å, degrees): 4.454 4.461 4.463 60.06 70.43 79.99
Space group P-1 (No. 2)
Asymmetric unit:
B: 0.190 0.336 0.269 (multiplicity 2)
C: 0.188 0.999 0.937 (multiplicity 2)
C: 0.201 0.667 0.602 (multiplicity 2)
C: 0.315 0.331 0.885 (multiplicity 2)
C: 0.316 0.676 0.228 (multiplicity 2)
C: 0.316 0.987 0.573 (multiplicity 2)


[5]
Computed, not measured: a relaxed structure of VPb3Br at the GGA-PBE level of DFT.

Results
Spin magnetization, μB per cell: 3.8
Excess energy over the best structure of this formula in the dataset, eV/f.u.: 4.20
ΔE_f (raw), eV/atom: 0.97

Lattice parameters (Å, degrees): 5.669 5.669 5.669 90.00 90.00 90.00
Space group Pm-3m (No. 221)
Asymmetric unit:
V: 0.000 0.000 0.000 (multiplicity 1)
Pb: 0.000 0.500 0.500 (multiplicity 3)
Br: 0.500 0.500 0.500 (multiplicity 1)


[6]
Computed, not measured: a relaxed structure of SmCd4Ag4 at the GGA-PBE level of DFT.

Results
Spin magnetization, μB per cell: 0.0
Formation enthalpy at 0 K, eV per atom: -0.0434

Lattice parameters (Å, degrees): 9.016 9.016 4.939 90.00 90.00 90.00
Space group P4_2/n (No. 86, origin choice 2)
Asymmetric unit:
Sm: 0.250 0.250 0.250 (multiplicity 2)
Cd: 0.109 0.832 0.749 (multiplicity 8)
Ag: 0.047 0.140 0.751 (multiplicity 8)


[7]
Computed, not measured: a relaxed structure of AgHgAs2O at the GGA-PBE level of DFT.

Results
Spin magnetization, μB per cell: 0.0
ΔE_f (raw), eV/atom: 0.63

Lattice parameters (Å, degrees): 5.177 5.177 3.944 90.00 90.00 90.00
Space group P4/mmm (No. 123)
Asymmetric unit:
Ag: 0.000 0.000 0.000 (multiplicity 1)
Hg: 0.500 0.500 0.500 (multiplicity 1)
As: 0.000 0.500 0.000 (multiplicity 2)
O: 0.000 0.000 0.500 (multiplicity 1)


[8]
Computed, not measured: a relaxed structure of AsOsRh2 at the GGA-PBE level of DFT.

Results
Spin magnetization, μB per cell: 0.0
Formation enthalpy at 0 K, eV per atom: 0.1381

Lattice parameters (Å, degrees): 9.024 2.892 4.524 90.00 93.87 90.00
Space group C2/m (No. 12)
Asymmetric unit:
As: 0.000 0.000 0.000 (multiplicity 2)
Os: 0.000 0.500 0.500 (multiplicity 2)
Rh: 0.233 0.000 0.742 (multiplicity 4)


[9]
Computed, not measured: a relaxed structure of PaTaCu at the GGA-PBE level of DFT.

Results
Spin magnetization, μB per cell: 0.0
Formation enthalpy at 0 K, eV per atom: 0.0860
Excess energy over the best structure of this formula in the dataset, eV/f.u.: 0.00

Lattice parameters (Å, degrees): 5.323 9.015 18.808 90.00 90.00 90.00
Space group Fddd (No. 70, origin choice 2)
Asymmetric unit:
Pa: 0.125 0.125 0.053 (multiplicity 16)
Ta: 0.125 0.296 0.625 (multiplicity 16)
Cu: 0.125 0.125 0.501 (multiplicity 16)


[10]
Computed, not measured: a relaxed structure of Tb7Pr2Tm2 at the GGA-PBE level of DFT.

Results
Spin magnetization, μB per cell: 0.0
Formation enthalpy at 0 K, eV per atom: 0.1523
Excess energy over the best structure of this formula in the dataset, eV/f.u.: 0.04

Lattice parameters (Å, degrees): 11.360 11.466 6.055 90.00 113.21 90.00
Space group C2/m (No. 12)
Asymmetric unit:
Tb: 0.000 0.000 0.000 (multiplicity 2)
Tb: 0.085 0.500 0.800 (multiplicity 4)
Tb: 0.176 0.234 0.175 (multiplicity 8)
Pr: 0.229 0.000 0.595 (multiplicity 4)
Tm: 0.000 0.220 0.500 (multiplicity 4)


[11]
Computed, not measured: a relaxed structure of DyY4 at the GGA-PBE level of DFT.

Results
Spin magnetization, μB per cell: 0.0
Formation enthalpy at 0 K, eV per atom: 0.0508
Excess energy over the best structure of this formula in the dataset, eV/f.u.: 0.13

Lattice parameters (Å, degrees): 5.456 16.763 3.525 90.00 90.00 90.00
Space group Cmmm (No. 65)
Asymmetric unit:
Dy: 0.000 0.000 0.000 (multiplicity 2)
Y: 0.000 0.199 0.000 (multiplicity 4)
Y: 0.000 0.391 0.500 (multiplicity 4)


[12]
Computed, not measured: a relaxed structure of Mn6AlCr12 at the GGA-PBE level of DFT.

Results
Spin magnetization, μB per cell: 0.0
Formation enthalpy at 0 K, eV per atom: 0.5671

Lattice parameters (Å, degrees): 10.1124 10.1124 8.2976 90.00 90.00 120.00
Space group R-3m (No. 166, hexagonal axes)
Asymmetric unit:
Mn: 0.0388 0.5194 0.2148 (multiplicity 18)
Al: 0.0000 0.0000 0.5000 (multiplicity 3)
Cr: 0.0000 0.3670 0.0000 (multiplicity 18)
Cr: 0.0830 0.1661 0.8773 (multiplicity 18)